1.
Density functional theory data (GGA-PBE) for PmYO2 after structural relaxation.

Unit cell a=3.622 b=3.622 c=20.082 alpha=90.00 beta=90.00 gamma=120.00
Sites, in units of the cell vectors:
Pm 0.000 0.000 0.000
Pm 0.333 0.667 0.667
Pm 0.667 0.333 0.333
Y 0.000 0.000 0.500
Y 0.333 0.667 0.167
Y 0.667 0.333 0.833
O 0.000 0.000 0.114
O 0.000 0.000 0.886
O 0.333 0.667 0.552
O 0.333 0.667 0.781
O 0.667 0.333 0.219
O 0.667 0.333 0.448

Formation energy without anion corrections: -2.83 eV per atom
E: -8.111 eV per atom
Crystal system: trigonal

2.
Density functional theory data (GGA-PBE) for YMg3Te after structural relaxation.

Unit cell a=5.951 b=5.951 c=5.951 alpha=90.00 beta=90.00 gamma=90.00
Sites, in units of the cell vectors:
Y 0.000 0.000 0.000
Mg 0.000 0.000 0.500
Mg 0.000 0.500 0.000
Mg 0.500 0.000 0.000
Te 0.500 0.500 0.500

Formation energy without anion corrections: 0.90 eV per atom
E: -1.978 eV per atom
Crystal system: cubic

3.
Density functional theory data (GGA-PBE) for NaSmDyGa after structural relaxation.

Unit cell a=7.463 b=7.463 c=7.463 alpha=90.00 beta=90.00 gamma=90.00
Sites, in units of the cell vectors:
Na 0.000 0.000 0.000
Na 0.000 0.500 0.500
Na 0.500 0.000 0.500
Na 0.500 0.500 0.000
Sm 0.250 0.250 0.750
Sm 0.250 0.750 0.250
Sm 0.750 0.250 0.250
Sm 0.750 0.750 0.750
Dy 0.250 0.250 0.250
Dy 0.250 0.750 0.750
Dy 0.750 0.250 0.750
Dy 0.750 0.750 0.250
Ga 0.000 0.000 0.500
Ga 0.000 0.500 0.000
Ga 0.500 0.000 0.000
Ga 0.500 0.500 0.500

Energy of formation from the pure elements: -0.128 eV/atom
E: -3.545 eV per atom
Crystal system: cubic

4.
Density functional theory data (GGA-PBE) for SbTe2RhPb after structural relaxation.

Unit cell a=5.774 b=5.774 c=5.733 alpha=90.00 beta=90.00 gamma=90.00
Sites, in units of the cell vectors:
Sb 0.000 0.000 0.000
Te 0.000 0.500 0.500
Te 0.500 0.000 0.500
Rh 0.500 0.500 0.000
Pb 0.000 0.000 0.500

Formation energy without anion corrections: 1.35 eV per atom
E: -2.946 eV per atom
Crystal system: tetragonal

5.
Density functional theory data (GGA-PBE) for Nd6Er after structural relaxation.

Unit cell a=8.197 b=8.197 c=8.197 alpha=90.00 beta=90.00 gamma=90.00
Sites, in units of the cell vectors:
Nd 0.000 0.250 0.500
Nd 0.000 0.500 0.250
Nd 0.000 0.500 0.750
Nd 0.000 0.750 0.500
Nd 0.250 0.000 0.500
Nd 0.250 0.500 0.000
Nd 0.500 0.000 0.250
Nd 0.500 0.000 0.750
Nd 0.500 0.250 0.000
Nd 0.500 0.750 0.000
Nd 0.750 0.000 0.500
Nd 0.750 0.500 0.000
Er 0.000 0.000 0.000
Er 0.500 0.500 0.500

Energy of formation from the pure elements: 1.273 eV/atom
E: -3.465 eV per atom
Crystal system: cubic

6.
Density functional theory data (GGA-PBE) for La2CuAgO5 after structural relaxation.

Unit cell a=6.948 b=6.948 c=5.551 alpha=90.00 beta=90.00 gamma=90.00
Sites, in units of the cell vectors:
La 0.181 0.319 0.000
La 0.319 0.819 0.000
La 0.681 0.181 0.000
La 0.819 0.681 0.000
Cu 0.000 0.500 0.500
Cu 0.500 0.000 0.500
Ag 0.000 0.000 0.500
Ag 0.500 0.500 0.500
O 0.000 0.000 0.000
O 0.128 0.628 0.260
O 0.128 0.628 0.740
O 0.372 0.128 0.260
O 0.372 0.128 0.740
O 0.500 0.500 0.000
O 0.628 0.872 0.260
O 0.628 0.872 0.740
O 0.872 0.372 0.260
O 0.872 0.372 0.740

Formation energy without anion corrections: -1.98 eV per atom
E: -6.603 eV per atom
Crystal system: tetragonal

Values of total magnetic moment, in order: 0.000 0.130 0.000 0.296 0.001 0.000, all in μB per atom.